First-principles (PBE) data for a relaxed YZnPS2 crystal, as listed in the Alexandria database.

Unit cell a=4.712 b=4.712 c=4.577 alpha=90.00 beta=90.00 gamma=90.00
Fractional coordinates of all 5 atoms:
Y  0.500  0.500  0.500
P  0.000  0.000  0.500
S  0.500  0.000  0.000
S  0.000  0.500  0.000
Zn  0.000  0.000  0.000

magnetization = 0.0 Bohr magnetons per cell
ΔE_f (raw) = -0.30 eV/atom
ΔE to the lowest computed polymorph = 0 meV/atom
DOS(E_F) = 4.2 states/eV/f.u.

---

First-principles (PBE) data for a relaxed Tb7SmEr2 crystal, as listed in the Alexandria database.

Unit cell a=6.162 b=9.400 c=9.407 alpha=141.80 beta=70.89 gamma=102.63
Fractional coordinates of all 10 atoms:
Tb  0.500  0.301  0.200
Tb  0.000  0.601  0.400
Tb  0.999  0.800  0.201
Tb  0.000  0.399  0.600
Tb  0.001  0.200  0.799
Tb  0.500  0.699  0.800
Tb  0.500  0.500  0.000
Er  0.501  0.900  0.600
Er  0.499  0.100  0.400
Sm  0.000  0.000  0.000

magnetization = 0.0 Bohr magnetons per cell
ΔE to the lowest computed polymorph = 0 meV/atom
ΔE_f = 0.41 kcal/mol of atoms
DOS(E_F) = 14.3 states/eV/f.u.

---

Question: Look up the ΔE to the lowest computed polymorph of the first one.
Answer: 0 meV/atom